The following is a PBE calculation of a relaxed structure of Ba2NaTaSe6, from OQMD via LeMat-Bulk.

```
data_Ba2NaTaSe6
_cell_length_a 10.509
_cell_length_b 10.509
_cell_length_c 10.509
_cell_angle_alpha 90.00
_cell_angle_beta 90.00
_cell_angle_gamma 90.00
_space_group_name_H-M_alt 'F m -3 m'
_space_group_IT_number 225
_space_group_name_Hall '-F 4 2 3'
loop_
_atom_site_label
_atom_site_type_symbol
_atom_site_fract_x
_atom_site_fract_y
_atom_site_fract_z
_atom_site_occupancy
Ba1 Ba 0.250 0.250 0.250 1
Na1 Na 0.000 0.000 0.000 1
Ta1 Ta 0.000 0.000 0.500 1
Se1 Se 0.000 0.000 0.258 1
```

Calculated values
Magnetization: 0.001 μB/atom
Raw total energy: -4.885 eV/atom
Mass density: 5.5 g/cm³

The following is a PBE calculation of a relaxed structure of Ba2NaTcSe6, from OQMD via LeMat-Bulk.

```
data_Ba2NaTcSe6
_cell_length_a 7.302
_cell_length_b 7.302
_cell_length_c 10.336
_cell_angle_alpha 90.00
_cell_angle_beta 90.00
_cell_angle_gamma 90.00
_space_group_name_H-M_alt 'I 4/m'
_space_group_IT_number 87
_space_group_name_Hall '-I 4'
loop_
_atom_site_label
_atom_site_type_symbol
_atom_site_fract_x
_atom_site_fract_y
_atom_site_fract_z
_atom_site_occupancy
Ba1 Ba 0.000 0.500 0.250 1
Na1 Na 0.000 0.000 0.000 1
Tc1 Tc 0.000 0.000 0.500 1
Se1 Se 0.000 0.000 0.259 1
Se2 Se 0.234 0.248 0.500 1
```

Calculated values
Magnetization: 0.071 μB/atom
Distance to the lowest polymorph of the same formula: 0.079 eV per atom
Mass density: 5.2 g/cm³

The following is a PBE calculation of a relaxed structure of Ba2NaTcSe6, from OQMD via LeMat-Bulk.

```
data_Ba2NaTcSe6
_cell_length_a 13.480
_cell_length_b 6.138
_cell_length_c 8.490
_cell_angle_alpha 90.00
_cell_angle_beta 127.85
_cell_angle_gamma 90.00
_space_group_name_H-M_alt 'C 1 2/m 1'
_space_group_IT_number 12
loop_
_space_group_symop_operation_xyz
'x,y,z'
'-x,-y,-z'
'-x,y,-z'
'x,-y,z'
'x+1/2,y+1/2,z'
'-x+1/2,-y+1/2,-z'
'-x+1/2,y+1/2,-z'
'x+1/2,-y+1/2,z'
loop_
_atom_site_label
_atom_site_type_symbol
_atom_site_fract_x
_atom_site_fract_y
_atom_site_fract_z
_atom_site_occupancy
Ba1 Ba 0.250 0.000 0.234 1
Na1 Na 0.000 0.500 0.000 1
Tc1 Tc 0.000 0.000 0.500 1
Se1 Se 0.052 0.262 0.332 1
Se2 Se 0.230 0.000 0.825 1
```

Calculated values
Magnetization: 0.115 μB/atom
Distance to the lowest polymorph of the same formula: 0.000 eV per atom
Mass density: 5.2 g/cm³

The following is a PBE calculation of a relaxed structure of Ba2NaTcSe6, from OQMD via LeMat-Bulk.

```
data_Ba2NaTcSe6
_cell_length_a 6.146
_cell_length_b 7.358
_cell_length_c 7.530
_cell_angle_alpha 90.90
_cell_angle_beta 113.78
_cell_angle_gamma 114.65
_space_group_name_H-M_alt 'P -1'
_space_group_IT_number 2
loop_
_space_group_symop_operation_xyz
'x,y,z'
'-x,-y,-z'
loop_
_atom_site_label
_atom_site_type_symbol
_atom_site_fract_x
_atom_site_fract_y
_atom_site_fract_z
_atom_site_occupancy
Ba1 Ba 0.015 0.267 0.265 1
Na1 Na 0.500 0.000 0.500 1
Tc1 Tc 0.500 0.500 0.000 1
Se1 Se 0.019 0.225 0.832 1
Se2 Se 0.408 0.636 0.677 1
Se3 Se 0.456 0.774 0.166 1
```

Calculated values
Magnetization: 0.115 μB/atom
Distance to the lowest polymorph of the same formula: 0.000 eV per atom
Mass density: 5.2 g/cm³

The following is a PBE calculation of a relaxed structure of Ba2NaTcSe6, from OQMD via LeMat-Bulk.

```
data_Ba2NaTcSe6
_cell_length_a 10.328
_cell_length_b 10.328
_cell_length_c 10.328
_cell_angle_alpha 90.00
_cell_angle_beta 90.00
_cell_angle_gamma 90.00
_space_group_name_H-M_alt 'F m -3 m'
_space_group_IT_number 225
_space_group_name_Hall '-F 4 2 3'
loop_
_atom_site_label
_atom_site_type_symbol
_atom_site_fract_x
_atom_site_fract_y
_atom_site_fract_z
_atom_site_occupancy
Ba1 Ba 0.250 0.250 0.250 1
Na1 Na 0.000 0.000 0.000 1
Tc1 Tc 0.000 0.000 0.500 1
Se1 Se 0.000 0.000 0.259 1
```

Calculated values
Magnetization: 0.071 μB/atom
Distance to the lowest polymorph of the same formula: 0.079 eV per atom
Mass density: 5.2 g/cm³

The following is a PBE calculation of a relaxed structure of BaNaSm, from OQMD via LeMat-Bulk.

```
data_BaNaSm
_cell_length_a 8.258
_cell_length_b 8.258
_cell_length_c 8.258
_cell_angle_alpha 90.00
_cell_angle_beta 90.00
_cell_angle_gamma 90.00
_space_group_name_H-M_alt 'F -4 3 m'
_space_group_IT_number 216
_space_group_name_Hall 'F -4 2 3'
loop_
_atom_site_label
_atom_site_type_symbol
_atom_site_fract_x
_atom_site_fract_y
_atom_site_fract_z
_atom_site_occupancy
Ba1 Ba 0.000 0.000 0.000 1
Na1 Na 0.250 0.250 0.250 1
Sm1 Sm 0.000 0.000 0.500 1
```

Calculated values
Magnetization: 0.587 μB/atom
Distance to the lowest polymorph of the same formula: 0.000 eV per atom
Mass density: 3.7 g/cm³

The following is a PBE calculation of a relaxed structure of BaNaSmTe3, from OQMD via LeMat-Bulk.

```
data_BaNaSmTe3
_cell_length_a 11.742
_cell_length_b 4.707
_cell_length_c 15.251
_cell_angle_alpha 90.00
_cell_angle_beta 90.00
_cell_angle_gamma 90.00
_space_group_name_H-M_alt 'P n m a'
_space_group_IT_number 62
loop_
_space_group_symop_operation_xyz
'x,y,z'
'-x,-y,-z'
'-x+1/2,-y,z+1/2'
'x+1/2,y,-z+1/2'
'x+1/2,-y+1/2,-z+1/2'
'-x+1/2,y+1/2,z+1/2'
'-x,y+1/2,-z'
'x,-y+1/2,z'
loop_
_atom_site_label
_atom_site_type_symbol
_atom_site_fract_x
_atom_site_fract_y
_atom_site_fract_z
_atom_site_occupancy
Ba1 Ba 0.243 0.250 0.004 1
Na1 Na 0.243 0.750 0.225 1
Sm1 Sm 0.008 0.750 0.748 1
Te1 Te 0.041 0.750 0.112 1
Te2 Te 0.057 0.250 0.610 1
Te3 Te 0.243 0.250 0.336 1
```

Calculated values
Magnetization: 0.000 μB/atom
Raw total energy: -4.272 eV/atom
Mass density: 5.5 g/cm³

The following is a PBE calculation of a relaxed structure of BaNaSmTe3, from OQMD via LeMat-Bulk.

```
data_BaNaSmTe3
_cell_length_a 4.715
_cell_length_b 15.267
_cell_length_c 11.739
_cell_angle_alpha 90.00
_cell_angle_beta 90.00
_cell_angle_gamma 90.00
_space_group_name_H-M_alt 'C m c m'
_space_group_IT_number 63
_space_group_name_Hall '-C 2c 2'
loop_
_atom_site_label
_atom_site_type_symbol
_atom_site_fract_x
_atom_site_fract_y
_atom_site_fract_z
_atom_site_occupancy
Ba1 Ba 0.000 0.248 0.250 1
Na1 Na 0.000 0.473 0.750 1
Sm1 Sm 0.000 0.000 0.000 1
Te1 Te 0.000 0.084 0.750 1
Te2 Te 0.000 0.361 0.547 1
```

Calculated values
Magnetization: 0.000 μB/atom
Raw total energy: -4.273 eV/atom
Mass density: 5.5 g/cm³

The following is a PBE calculation of a relaxed structure of BaNaTbTe3, from OQMD via LeMat-Bulk.

```
data_BaNaTbTe3
_cell_length_a 4.680
_cell_length_b 15.231
_cell_length_c 11.614
_cell_angle_alpha 90.00
_cell_angle_beta 90.00
_cell_angle_gamma 90.00
_space_group_name_H-M_alt 'C m c m'
_space_group_IT_number 63
_space_group_name_Hall '-C 2c 2'
loop_
_atom_site_label
_atom_site_type_symbol
_atom_site_fract_x
_atom_site_fract_y
_atom_site_fract_z
_atom_site_occupancy
Ba1 Ba 0.000 0.248 0.250 1
Na1 Na 0.000 0.472 0.750 1
Tb1 Tb 0.000 0.000 0.000 1
Te1 Te 0.000 0.083 0.750 1
Te2 Te 0.000 0.362 0.545 1
```

Calculated values
Magnetization: 0.000 μB/atom
Distance to the lowest polymorph of the same formula: 0.005 eV per atom
Mass density: 5.6 g/cm³

The following is a PBE calculation of a relaxed structure of BaNaTbTe3, from OQMD via LeMat-Bulk.

```
data_BaNaTbTe3
_cell_length_a 11.611
_cell_length_b 4.685
_cell_length_c 15.216
_cell_angle_alpha 90.00
_cell_angle_beta 90.00
_cell_angle_gamma 90.00
_space_group_name_H-M_alt 'P n m a'
_space_group_IT_number 62
loop_
_space_group_symop_operation_xyz
'x,y,z'
'-x,-y,-z'
'-x+1/2,-y,z+1/2'
'x+1/2,y,-z+1/2'
'x+1/2,-y+1/2,-z+1/2'
'-x+1/2,y+1/2,z+1/2'
'-x,y+1/2,-z'
'x,-y+1/2,z'
loop_
_atom_site_label
_atom_site_type_symbol
_atom_site_fract_x
_atom_site_fract_y
_atom_site_fract_z
_atom_site_occupancy
Ba1 Ba 0.249 0.250 0.003 1
Na1 Na 0.248 0.750 0.224 1
Tb1 Tb 0.003 0.750 0.750 1
Te1 Te 0.043 0.750 0.112 1
Te2 Te 0.047 0.250 0.612 1
Te3 Te 0.248 0.250 0.334 1
```

Calculated values
Magnetization: 0.000 μB/atom
Distance to the lowest polymorph of the same formula: 0.006 eV per atom
Mass density: 5.6 g/cm³

The following is a PBE calculation of a relaxed structure of BaNaTm, from OQMD via LeMat-Bulk.

```
data_BaNaTm
_cell_length_a 8.164
_cell_length_b 8.164
_cell_length_c 8.164
_cell_angle_alpha 90.00
_cell_angle_beta 90.00
_cell_angle_gamma 90.00
_space_group_name_H-M_alt 'F -4 3 m'
_space_group_IT_number 216
_space_group_name_Hall 'F -4 2 3'
loop_
_atom_site_label
_atom_site_type_symbol
_atom_site_fract_x
_atom_site_fract_y
_atom_site_fract_z
_atom_site_occupancy
Ba1 Ba 0.000 0.000 0.000 1
Na1 Na 0.250 0.250 0.250 1
Tm1 Tm 0.000 0.000 0.500 1
```

Calculated values
Magnetization: 0.196 μB/atom
Distance to the lowest polymorph of the same formula: 0.000 eV per atom
Mass density: 4.0 g/cm³

The following is a PBE calculation of a relaxed structure of Ba2Na2Zn3, from OQMD via LeMat-Bulk.

```
data_Ba2Na2Zn3
_cell_length_a 5.4505
_cell_length_b 5.4505
_cell_length_c 26.1766
_cell_angle_alpha 90.00
_cell_angle_beta 90.00
_cell_angle_gamma 120.00
_space_group_name_H-M_alt 'R 3 m'
_space_group_IT_number 160
_space_group_name_Hall 'R 3 -2"'
loop_
_atom_site_label
_atom_site_type_symbol
_atom_site_fract_x
_atom_site_fract_y
_atom_site_fract_z
_atom_site_occupancy
Ba1 Ba 0.0000 0.0000 0.0000 1
Ba2 Ba 0.0000 0.0000 0.4931 1
Na1 Na 0.0000 0.0000 0.2447 1
Na2 Na 0.0000 0.0000 0.7454 1
Zn1 Zn 0.0000 0.0000 0.3651 1
Zn2 Zn 0.0000 0.0000 0.6201 1
Zn3 Zn 0.0000 0.0000 0.8751 1
```

Calculated values
Raw total energy: -1.485 eV/atom
Mass density: 3.8 g/cm³

The following is a PBE calculation of a relaxed structure of BaNaZr, from OQMD via LeMat-Bulk.

```
data_BaNaZr
_cell_length_a 7.642
_cell_length_b 7.642
_cell_length_c 7.642
_cell_angle_alpha 90.00
_cell_angle_beta 90.00
_cell_angle_gamma 90.00
_space_group_name_H-M_alt 'F -4 3 m'
_space_group_IT_number 216
_space_group_name_Hall 'F -4 2 3'
loop_
_atom_site_label
_atom_site_type_symbol
_atom_site_fract_x
_atom_site_fract_y
_atom_site_fract_z
_atom_site_occupancy
Ba1 Ba 0.000 0.000 0.000 1
Na1 Na 0.250 0.250 0.750 1
Zr1 Zr 0.250 0.250 0.250 1
```

Calculated values
Magnetization: 0.759 μB/atom
Raw total energy: -2.518 eV/atom
Mass density: 3.7 g/cm³

The following is a PBE calculation of a relaxed structure of Ba2NbNi, from OQMD via LeMat-Bulk.

```
data_Ba2NbNi
_cell_length_a 7.664
_cell_length_b 7.664
_cell_length_c 7.664
_cell_angle_alpha 90.00
_cell_angle_beta 90.00
_cell_angle_gamma 90.00
_space_group_name_H-M_alt 'F -4 3 m'
_space_group_IT_number 216
_space_group_name_Hall 'F -4 2 3'
loop_
_atom_site_label
_atom_site_type_symbol
_atom_site_fract_x
_atom_site_fract_y
_atom_site_fract_z
_atom_site_occupancy
Ba1 Ba 0.000 0.000 0.000 1
Ba2 Ba 0.250 0.250 0.250 1
Nb1 Nb 0.250 0.250 0.750 1
Ni1 Ni 0.000 0.000 0.500 1
```

Calculated values
Magnetization: 0.859 μB/atom
Raw total energy: -3.856 eV/atom
Mass density: 6.3 g/cm³

The following is a PBE calculation of a relaxed structure of BaNpNb, from OQMD via LeMat-Bulk.

```
data_BaNpNb
_cell_length_a 7.190
_cell_length_b 7.190
_cell_length_c 7.190
_cell_angle_alpha 90.00
_cell_angle_beta 90.00
_cell_angle_gamma 90.00
_space_group_name_H-M_alt 'F -4 3 m'
_space_group_IT_number 216
_space_group_name_Hall 'F -4 2 3'
loop_
_atom_site_label
_atom_site_type_symbol
_atom_site_fract_x
_atom_site_fract_y
_atom_site_fract_z
_atom_site_occupancy
Ba1 Ba 0.000 0.000 0.000 1
Np1 Np 0.000 0.000 0.500 1
Nb1 Nb 0.250 0.250 0.250 1
```

Calculated values
Magnetization: 0.860 μB/atom
Distance to the lowest polymorph of the same formula: 0.000 eV per atom
Mass density: 8.3 g/cm³

The following is a PBE calculation of a relaxed structure of BaNpNb, from OQMD via LeMat-Bulk.

```
data_BaNpNb
_cell_length_a 7.063
_cell_length_b 7.063
_cell_length_c 7.063
_cell_angle_alpha 90.00
_cell_angle_beta 90.00
_cell_angle_gamma 90.00
_space_group_name_H-M_alt 'F -4 3 m'
_space_group_IT_number 216
_space_group_name_Hall 'F -4 2 3'
loop_
_atom_site_label
_atom_site_type_symbol
_atom_site_fract_x
_atom_site_fract_y
_atom_site_fract_z
_atom_site_occupancy
Ba1 Ba 0.000 0.000 0.000 1
Np1 Np 0.250 0.250 0.250 1
Nb1 Nb 0.250 0.250 0.750 1
```

Calculated values
Magnetization: 1.195 μB/atom
Distance to the lowest polymorph of the same formula: 0.426 eV per atom
Mass density: 8.8 g/cm³

The following is a PBE calculation of a relaxed structure of BaNb8O14, from OQMD via LeMat-Bulk.

```
data_BaNb8O14
_cell_length_a 9.381
_cell_length_b 10.323
_cell_length_c 5.979
_cell_angle_alpha 90.00
_cell_angle_beta 90.00
_cell_angle_gamma 90.00
_space_group_name_H-M_alt 'P b a m'
_space_group_IT_number 55
loop_
_space_group_symop_operation_xyz
'x,y,z'
'-x,-y,-z'
'-x,-y,z'
'x,y,-z'
'x+1/2,-y+1/2,-z'
'-x+1/2,y+1/2,z'
'-x+1/2,y+1/2,-z'
'x+1/2,-y+1/2,z'
loop_
_atom_site_label
_atom_site_type_symbol
_atom_site_fract_x
_atom_site_fract_y
_atom_site_fract_z
_atom_site_occupancy
Ba1 Ba 0.000 0.000 0.000 1
Nb1 Nb 0.117 0.164 0.500 1
Nb2 Nb 0.120 0.664 0.000 1
Nb3 Nb 0.125 0.423 0.233 1
O1 O 0.000 0.000 0.500 1
O2 O 0.000 0.500 0.500 1
O3 O 0.004 0.247 0.247 1
O4 O 0.236 0.322 0.500 1
O5 O 0.242 0.087 0.249 1
O6 O 0.242 0.844 0.000 1
```

Calculated values
Magnetization: 0.000 μB/atom
Raw total energy: -9.043 eV/atom
Mass density: 6.3 g/cm³

The following is a PBE calculation of a relaxed structure of BaNb2O6, from OQMD via LeMat-Bulk.

```
data_BaNb2O6
_cell_length_a 12.690
_cell_length_b 12.690
_cell_length_c 3.964
_cell_angle_alpha 90.00
_cell_angle_beta 90.00
_cell_angle_gamma 90.00
_space_group_name_H-M_alt 'P 4/m'
_space_group_IT_number 83
loop_
_space_group_symop_operation_xyz
'x,y,z'
'-x,-y,-z'
'-y,x,z'
'y,-x,-z'
'-x,-y,z'
'x,y,-z'
'y,-x,z'
'-y,x,-z'
loop_
_atom_site_label
_atom_site_type_symbol
_atom_site_fract_x
_atom_site_fract_y
_atom_site_fract_z
_atom_site_occupancy
Ba1 Ba 0.000 0.000 0.000 1
Ba2 Ba 0.174 0.667 0.000 1
Nb1 Nb 0.000 0.500 0.500 1
Nb2 Nb 0.081 0.216 0.500 1
Nb3 Nb 0.295 0.431 0.500 1
O1 O 0.000 0.500 0.000 1
O2 O 0.015 0.657 0.500 1
O3 O 0.069 0.211 0.000 1
O4 O 0.073 0.863 0.500 1
O5 O 0.156 0.501 0.500 1
O6 O 0.218 0.280 0.500 1
O7 O 0.292 0.415 0.000 1
O8 O 0.351 0.570 0.500 1
```

Calculated values
Magnetization: 0.000 μB/atom
Raw total energy: -8.477 eV/atom
Mass density: 5.5 g/cm³

The following is a PBE calculation of a relaxed structure of Ba4Nb4O11, from OQMD via LeMat-Bulk.

```
data_Ba4Nb4O11
_cell_length_a 5.822
_cell_length_b 8.251
_cell_length_c 5.822
_cell_angle_alpha 90.00
_cell_angle_beta 90.00
_cell_angle_gamma 90.00
_space_group_name_H-M_alt 'P 1 m 1'
_space_group_IT_number 6
loop_
_space_group_symop_operation_xyz
'x,y,z'
'x,-y,z'
loop_
_atom_site_label
_atom_site_type_symbol
_atom_site_fract_x
_atom_site_fract_y
_atom_site_fract_z
_atom_site_occupancy
Ba1 Ba 0.000 0.000 0.000 1
Ba2 Ba 0.001 0.500 0.000 1
Ba3 Ba 0.500 0.000 0.500 1
Ba4 Ba 0.501 0.500 0.500 1
Nb1 Nb 0.000 0.248 0.500 1
Nb2 Nb 0.500 0.249 0.000 1
O1 O 0.000 0.000 0.501 1
O2 O 0.249 0.252 0.750 1
O3 O 0.251 0.251 0.252 1
O4 O 0.500 0.000 0.999 1
O5 O 0.501 0.500 0.001 1
O6 O 0.750 0.252 0.748 1
O7 O 0.752 0.251 0.249 1
```

Calculated values
Magnetization: 0.000 μB/atom
Distance to the lowest polymorph of the same formula: 0.000 eV per atom
Mass density: 6.5 g/cm³